Entry from Alexandria via LeMat-Bulk: crystalline Ba2ZnHPd at its relaxed geometry (PBE-GGA).

- Space-group type: P4/mmm (123)
- Density: 5.23 g cm⁻³
- E above lowest polymorph: 537.2 meV per atom
- DFT total energy: -2.61 eV/atom
- Volume: 28.43 Å³/atom

```
data_Ba2ZnHPd
_space_group_name_H-M_alt 'P 1'
_space_group_IT_number 1
_cell_length_a 6.113
_cell_length_b 3.804
_cell_length_c 6.113
_cell_angle_alpha 90.00
_cell_angle_beta 90.00
_cell_angle_gamma 90.00
loop_
_space_group_symop_operation_xyz
'x,y,z'
loop_
_atom_site_label
_atom_site_fract_x
_atom_site_fract_y
_atom_site_fract_z
_atom_site_occupancy
H1 0.000 0.500 0.000 1
Zn1 0.000 0.000 0.000 1
Ba1 0.000 0.000 0.500 1
Ba2 0.500 0.000 0.000 1
Pd1 0.500 0.500 0.500 1
```